# 1
PmCoAgBi: relaxed, GGA-PBE.

Calculated values
As for the symmetry: F-43m, No. 216. The volume is 85.9 Å³/cell. Its calculated formation energy is -0.092 eV/f.u. As for the electronic total energy: -4.6701 eV per atom.

abc: 4.9521 4.9521 4.9521
angles: 60.00 60.00 60.00
Each line ends with the local moment (μB).
Fractional coordinates of all 4 atoms:
Ag: 0.0000 0.0000 0.0000  -0.01
Pm: 0.7500 0.7500 0.7500  -0.10
Bi: 0.2500 0.2500 0.2500  -0.01
Co: 0.5000 0.5000 0.5000  0.76


# 2
Rb2CoAgBi: relaxed, GGA-PBE.

Calculated values
As for the symmetry: P4/mmm, No. 123. The volume is 207.5 Å³/cell. Its calculated formation energy is 3.563 eV/f.u. As for the electronic total energy: -2.4421 eV per atom.

abc: 6.5251 4.8732 6.5251
angles: 90.00 90.00 90.00
Each line ends with the local moment (μB).
Fractional coordinates of all 5 atoms:
Co: 0.0000 0.0000 0.0000  2.00
Bi: 0.5000 0.5000 0.5000  0.58
Rb: 0.0000 0.0000 0.5000  0.00
Rb: 0.5000 0.0000 0.0000  0.01
Ag: 0.0000 0.5000 0.0000  0.05


# 3
Co2AgBiS: relaxed, GGA-PBE.

Calculated values
Its uncorrected formation energy is 114.7 kJ per mole of atoms. As for the symmetry: P4/mmm, No. 123. The volume is 108.8 Å³/cell. As for the electronic total energy: -3.8254 eV per atom.

abc: 4.8250 4.6718 4.8250
angles: 90.00 90.00 90.00
Each line ends with the local moment (μB).
Fractional coordinates of all 5 atoms:
Bi: 0.5000 0.5000 0.5000  -0.07
Ag: 0.0000 0.0000 0.0000  0.03
Co: 0.0000 0.0000 0.5000  2.05
Co: 0.5000 0.0000 0.0000  1.62
S: 0.0000 0.5000 0.0000  0.02


# 4
CoSi2AgBi: relaxed, GGA-PBE.

Calculated values
Its uncorrected formation energy is 104.4 kJ per mole of atoms. As for the symmetry: P4/mmm, No. 123. The volume is 111.5 Å³/cell. As for the electronic total energy: -3.8543 eV per atom.

abc: 4.7723 4.7723 4.8945
angles: 90.00 90.00 90.00
Each line ends with the local moment (μB).
Fractional coordinates of all 5 atoms:
Si: 0.5000 0.0000 0.0000  -0.01
Si: 0.0000 0.5000 0.0000  -0.01
Ag: 0.0000 0.0000 0.0000  -0.02
Co: 0.0000 0.0000 0.5000  1.65
Bi: 0.5000 0.5000 0.5000  -0.07


# 5
Co2TcAgBi: relaxed, GGA-PBE.

Calculated values
As for the symmetry: P4/mmm, No. 123. The volume is 101.2 Å³/cell. Its calculated formation energy is 6.004 eV/f.u. As for the electronic total energy: -5.0612 eV per atom.

abc: 4.4262 5.1640 4.4262
angles: 90.00 90.00 90.00
Each line ends with the local moment (μB).
Fractional coordinates of all 5 atoms:
Ag: 0.0000 0.5000 0.0000  0.01
Co: 0.5000 0.0000 0.0000  0.48
Co: 0.0000 0.0000 0.5000  0.72
Bi: 0.5000 0.5000 0.5000  -0.01
Tc: 0.0000 0.0000 0.0000  0.10


# 6
ZnCo2AgBi: relaxed, GGA-PBE.

Calculated values
As for the symmetry: P4/mmm, No. 123. The volume is 131.6 Å³/cell. Its calculated formation energy is 6.257 eV/f.u. As for the electronic total energy: -3.1922 eV per atom.

abc: 4.9276 5.4183 4.9276
angles: 90.00 90.00 90.00
Each line ends with the local moment (μB).
Fractional coordinates of all 5 atoms:
Zn: 0.5000 0.5000 0.5000  0.09
Ag: 0.0000 0.5000 0.0000  0.04
Bi: 0.0000 0.0000 0.0000  0.04
Co: 0.5000 0.0000 0.0000  2.19
Co: 0.0000 0.0000 0.5000  1.55


# 7
Cr3AgBi: relaxed, GGA-PBE.

Calculated values
As for the symmetry: Pm-3m, No. 221. The volume is 150.0 Å³/cell. Its calculated formation energy is 7.031 eV/f.u. As for the electronic total energy: -5.7143 eV per atom.

abc: 5.3130 5.3130 5.3130
angles: 90.00 90.00 90.00
Each line ends with the local moment (μB).
Fractional coordinates of all 5 atoms:
Ag: 0.5000 0.5000 0.5000  -0.03
Cr: 0.0000 0.5000 0.0000  4.03
Cr: 0.5000 0.0000 0.0000  3.94
Cr: 0.0000 0.0000 0.5000  4.13
Bi: 0.0000 0.0000 0.0000  -0.11


# 8
Cr3AgBi: relaxed, GGA-PBE.

Calculated values
As for the symmetry: Pm-3m, No. 221. The volume is 126.2 Å³/cell. Its calculated formation energy is 6.216 eV/f.u. As for the electronic total energy: -5.8773 eV per atom.

abc: 5.0164 5.0164 5.0164
angles: 90.00 90.00 90.00
Each line ends with the local moment (μB).
Fractional coordinates of all 5 atoms:
Ag: 0.0000 0.0000 0.0000  0.22
Cr: 0.0000 0.5000 0.0000  3.92
Cr: 0.5000 0.0000 0.0000  3.92
Cr: 0.0000 0.0000 0.5000  3.99
Bi: 0.5000 0.5000 0.5000  -0.32


# 9
CrAgBi3: relaxed, GGA-PBE.

Calculated values
As for the symmetry: Pm-3m, No. 221. The volume is 144.6 Å³/cell. Its calculated formation energy is 2.782 eV/f.u. As for the electronic total energy: -4.2671 eV per atom.

abc: 5.2487 5.2487 5.2487
angles: 90.00 90.00 90.00
Each line ends with the local moment (μB).
Fractional coordinates of all 5 atoms:
Ag: 0.5000 0.5000 0.5000  0.00
Cr: 0.0000 0.0000 0.0000  2.14
Bi: 0.5000 0.0000 0.0000  -0.22
Bi: 0.0000 0.0000 0.5000  0.03
Bi: 0.0000 0.5000 0.0000  -0.09


# 10
CrAg2Bi2: relaxed, GGA-PBE.

Calculated values
As for the symmetry: P4/mbm, No. 127. The volume is 237.2 Å³/cell. Its calculated formation energy is 1.746 eV/f.u. As for the electronic total energy: -4.2683 eV per atom.

abc: 7.4319 7.4319 4.2951
angles: 90.00 90.00 90.00
Each line ends with the local moment (μB).
Fractional coordinates of all 10 atoms:
Bi: 0.3247 0.1753 0.5000  -0.11
Bi: 0.6753 0.8247 0.5000  -0.11
Bi: 0.8247 0.3247 0.5000  -0.12
Bi: 0.1753 0.6753 0.5000  -0.11
Ag: 0.6333 0.1333 0.0000  0.01
Ag: 0.8667 0.6333 0.0000  0.01
Ag: 0.1333 0.3667 0.0000  0.01
Ag: 0.3667 0.8667 0.0000  0.01
Cr: 0.5000 0.5000 0.0000  3.91
Cr: 0.0000 0.0000 0.0000  3.90